Entry 1:
This record from the Alexandria database describes an optimized crystal structure of CdTe2Os. The functional is PBE.

The magnetization comes out at 0.0 μB per formula unit. The value obtained for the final energy is -4.19 eV/atom. The density of states at the Fermi level is 3.04 states/eV per cell.

The space group is Pmmm (No. 47) and the conventional cell measures 3.1865, 3.2518 and 9.6161 Å, with angles of 90.00, 90.00 and 90.00 degrees. Symmetry generates all atoms from Cd at (0.0000, 0.0000, 0.0000), Te at (0.5000, 0.5000, 0.3226) and Os at (0.0000, 0.0000, 0.5000).


Entry 2:
This record from the Alexandria database describes an optimized crystal structure of CdTeOs2. The functional is PBE.

The magnetization comes out at 0.0 μB per formula unit. The value obtained for the final energy is -5.82 eV/atom. As for the energy relative to the lowest polymorph listed for this composition: 371 meV/atom. The density of states at the Fermi level is 5.28 states/eV per cell.

The space group is C2/m (No. 12) and the conventional cell measures 8.6908, 3.0662 and 5.4827 Å, with angles of 90.00, 99.86 and 90.00 degrees. Symmetry generates all atoms from Cd at (0.0000, 0.0000, 0.0000), Te at (0.0000, 0.5000, 0.5000) and Os at (0.2466, 0.0000, 0.7155).